a.
First-principles (GGA-PBEsol) data for a relaxed AgAu3 crystal, as listed in Alexandria via LeMat-Bulk.

a b c (Å): 4.5707 4.5707 4.5707
angles (deg): 60.00 60.00 60.00
Atoms (fractional coordinates):
Ag1 0.0000 0.0000 0.0000
Au1 0.2500 0.2500 0.2500
Au2 0.5000 0.5000 0.5000
Au3 0.7500 0.7500 0.7500

N(E_F) ... 0.25 states/eV/atom


b.
First-principles (GGA-PBEsol) data for a relaxed AgAu3 crystal, as listed in Alexandria via LeMat-Bulk.

a b c (Å): 2.8507 4.7609 4.9546
angles (deg): 90.00 90.00 90.00
Atoms (fractional coordinates):
Ag1 0.0000 0.0000 0.0000
Au1 0.0000 0.5000 0.3318
Au2 0.5000 0.0000 0.5001
Au3 0.5000 0.5000 0.8328

N(E_F) ... 0.34 states/eV/atom


Winner for stability: b